(1)
# Hf4V2In5 PBE optimized geometry
# DFT total energy ... -6.593 eV/atom
data_Hf4V2In5
_chemical_formula_sum 'Hf4 V2 In5'
_space_group_name_H-M_alt 'P 1 2/m 1'
_space_group_IT_number 10
_space_group_name_Hall '-P 2y'
_cell_length_a 7.797
_cell_length_b 3.249
_cell_length_c 9.250
_cell_angle_alpha 90.00
_cell_angle_beta 96.61
_cell_angle_gamma 90.00
loop_
_atom_site_label
_atom_site_fract_x
_atom_site_fract_y
_atom_site_fract_z
_atom_site_occupancy
Hf1 0.184 0.000 0.343 1
Hf2 0.237 0.000 0.928 1
V1 0.063 0.500 0.113 1
In1 0.153 0.500 0.635 1
In2 0.449 0.500 0.172 1
In3 0.500 0.500 0.500 1



(2)
# Hf3V8In PBE optimized geometry
# DFT total energy ... -8.782 eV/atom
data_Hf3V8In
_chemical_formula_sum 'Hf9 V24 In3'
_space_group_name_H-M_alt 'R 3 m'
_space_group_IT_number 160
_space_group_name_Hall 'R 3 -2"'
_cell_length_a 5.1924
_cell_length_b 5.1924
_cell_length_c 25.1953
_cell_angle_alpha 90.00
_cell_angle_beta 90.00
_cell_angle_gamma 120.00
loop_
_atom_site_label
_atom_site_fract_x
_atom_site_fract_y
_atom_site_fract_z
_atom_site_occupancy
Hf1 0.0000 0.0000 0.0000 1
Hf2 0.0000 0.0000 0.1242 1
Hf3 0.0000 0.0000 0.4988 1
V1 0.0000 0.0000 0.3130 1
V2 0.0000 0.0000 0.8109 1
V3 0.0001 0.5000 0.5608 1
V4 0.0106 0.5053 0.0626 1
In1 0.0000 0.0000 0.6243 1



(3)
# HfVIn PBE optimized geometry
# Energy above the lowest structure with this stoichiometry ... 0.62 eV/f.u.
data_HfVIn
_chemical_formula_sum 'Hf16 V16 In16'
_space_group_name_H-M_alt 'F d d d'
_space_group_IT_number 70
_cell_length_a 5.449
_cell_length_b 9.601
_cell_length_c 18.237
_cell_angle_alpha 90.00
_cell_angle_beta 90.00
_cell_angle_gamma 90.00
loop_
_space_group_symop_operation_xyz
'x,y,z'
'-x,-y,-z'
'-x+1/4,-y+1/4,z'
'x+1/4,y+1/4,-z'
'x,-y+1/4,-z+1/4'
'-x,y+1/4,z+1/4'
'-x+1/4,y,-z+1/4'
'x+1/4,-y,z+1/4'
'x,y+1/2,z+1/2'
'-x,-y+1/2,-z+1/2'
'-x+1/4,-y+3/4,z+1/2'
'x+1/4,y+3/4,-z+1/2'
'x,-y+3/4,-z+3/4'
'-x,y+3/4,z+3/4'
'-x+1/4,y+1/2,-z+3/4'
'x+1/4,-y+1/2,z+3/4'
'x+1/2,y,z+1/2'
'-x+1/2,-y,-z+1/2'
'-x+3/4,-y+1/4,z+1/2'
'x+3/4,y+1/4,-z+1/2'
'x+1/2,-y+1/4,-z+3/4'
'-x+1/2,y+1/4,z+3/4'
'-x+3/4,y,-z+3/4'
'x+3/4,-y,z+3/4'
'x+1/2,y+1/2,z'
'-x+1/2,-y+1/2,-z'
'-x+3/4,-y+3/4,z'
'x+3/4,y+3/4,-z'
'x+1/2,-y+3/4,-z+1/4'
'-x+1/2,y+3/4,z+1/4'
'-x+3/4,y+1/2,-z+1/4'
'x+3/4,-y+1/2,z+1/4'
loop_
_atom_site_label
_atom_site_fract_x
_atom_site_fract_y
_atom_site_fract_z
_atom_site_occupancy
Hf1 0.125 0.286 0.125 1
V1 0.125 0.125 0.252 1
In1 0.125 0.125 0.541 1



(4)
# Hf4VIn2 PBE optimized geometry
# DFT total energy ... -7.249 eV/atom
data_Hf4VIn2
_chemical_formula_sum 'Hf8 V2 In4'
_space_group_name_H-M_alt 'I 4/m m m'
_space_group_IT_number 139
_space_group_name_Hall '-I 4 2'
_cell_length_a 4.630
_cell_length_b 4.630
_cell_length_c 15.545
_cell_angle_alpha 90.00
_cell_angle_beta 90.00
_cell_angle_gamma 90.00
loop_
_atom_site_label
_atom_site_fract_x
_atom_site_fract_y
_atom_site_fract_z
_atom_site_occupancy
Hf1 0.000 0.000 0.175 1
Hf2 0.000 0.500 0.000 1
V1 0.000 0.000 0.000 1
In1 0.000 0.000 0.361 1



(5)
# HfV2In2 PBE optimized geometry
# DFT total energy ... -6.499 eV/atom
data_HfV2In2
_chemical_formula_sum 'Hf2 V4 In4'
_space_group_name_H-M_alt 'P 4/m b m'
_space_group_IT_number 127
_space_group_name_Hall '-P 4 2ab'
_cell_length_a 7.990
_cell_length_b 7.990
_cell_length_c 2.940
_cell_angle_alpha 90.00
_cell_angle_beta 90.00
_cell_angle_gamma 90.00
loop_
_atom_site_label
_atom_site_fract_x
_atom_site_fract_y
_atom_site_fract_z
_atom_site_occupancy
Hf1 0.000 0.000 0.000 1
V1 0.104 0.396 0.000 1
In1 0.188 0.688 0.500 1



(6)
# Hf4VIn3 PBE optimized geometry
# DFT total energy ... -7.230 eV/atom
data_Hf4VIn3
_chemical_formula_sum 'Hf4 V1 In3'
_space_group_name_H-M_alt 'P 4/m m m'
_space_group_IT_number 123
_space_group_name_Hall '-P 4 2'
_cell_length_a 3.258
_cell_length_b 3.258
_cell_length_c 15.757
_cell_angle_alpha 90.00
_cell_angle_beta 90.00
_cell_angle_gamma 90.00
loop_
_atom_site_label
_atom_site_fract_x
_atom_site_fract_y
_atom_site_fract_z
_atom_site_occupancy
Hf1 0.000 0.000 0.100 1
Hf2 0.000 0.000 0.367 1
V1 0.500 0.500 0.000 1
In1 0.500 0.500 0.236 1
In2 0.500 0.500 0.500 1



(7)
# HfVIn PBE optimized geometry
# Energy above the lowest structure with this stoichiometry ... 0.00 eV/f.u.
data_HfVIn
_chemical_formula_sum 'Hf2 V2 In2'
_space_group_name_H-M_alt 'I 4 m m'
_space_group_IT_number 107
_space_group_name_Hall 'I 4 -2'
_cell_length_a 3.389
_cell_length_b 3.389
_cell_length_c 10.186
_cell_angle_alpha 90.00
_cell_angle_beta 90.00
_cell_angle_gamma 90.00
loop_
_atom_site_label
_atom_site_fract_x
_atom_site_fract_y
_atom_site_fract_z
_atom_site_occupancy
Hf1 0.000 0.000 0.000 1
V1 0.000 0.000 0.352 1
In1 0.000 0.000 0.692 1



(8)
# HfV3In PBE optimized geometry
# Energy above the lowest structure with this stoichiometry ... 0.00 eV/f.u.
data_HfV3In
_chemical_formula_sum 'Hf1 V3 In1'
_space_group_name_H-M_alt 'P m -3 m'
_space_group_IT_number 221
_space_group_name_Hall '-P 4 2 3'
_cell_length_a 4.672
_cell_length_b 4.672
_cell_length_c 4.672
_cell_angle_alpha 90.00
_cell_angle_beta 90.00
_cell_angle_gamma 90.00
loop_
_atom_site_label
_atom_site_fract_x
_atom_site_fract_y
_atom_site_fract_z
_atom_site_occupancy
Hf1 0.000 0.000 0.000 1
V1 0.000 0.000 0.500 1
In1 0.500 0.500 0.500 1



(9)
# HfVIn2 PBE optimized geometry
# Energy above the lowest structure with this stoichiometry ... 1.51 eV/f.u.
data_HfVIn2
_chemical_formula_sum 'Hf4 V4 In8'
_space_group_name_H-M_alt 'I -4 2 d'
_space_group_IT_number 122
_space_group_name_Hall 'I -4 2bw'
_cell_length_a 7.676
_cell_length_b 7.676
_cell_length_c 5.817
_cell_angle_alpha 90.00
_cell_angle_beta 90.00
_cell_angle_gamma 90.00
loop_
_atom_site_label
_atom_site_fract_x
_atom_site_fract_y
_atom_site_fract_z
_atom_site_occupancy
Hf1 0.000 0.000 0.000 1
V1 0.000 0.000 0.500 1
In1 0.228 0.250 0.625 1



(10)
# Hf3VIn PBE optimized geometry
# Energy above the lowest structure with this stoichiometry ... 4.66 eV/f.u.
data_Hf3VIn
_chemical_formula_sum 'Hf3 V1 In1'
_space_group_name_H-M_alt 'P m -3 m'
_space_group_IT_number 221
_space_group_name_Hall '-P 4 2 3'
_cell_length_a 5.199
_cell_length_b 5.199
_cell_length_c 5.199
_cell_angle_alpha 90.00
_cell_angle_beta 90.00
_cell_angle_gamma 90.00
loop_
_atom_site_label
_atom_site_fract_x
_atom_site_fract_y
_atom_site_fract_z
_atom_site_occupancy
Hf1 0.000 0.000 0.500 1
V1 0.500 0.500 0.500 1
In1 0.000 0.000 0.000 1



(11)
# Hf12VIn6 PBE optimized geometry
# DFT total energy ... -7.617 eV/atom
data_Hf12VIn6
_chemical_formula_sum 'Hf36 V3 In18'
_space_group_name_H-M_alt 'R -3'
_space_group_IT_number 148
_space_group_name_Hall '-R 3'
_cell_length_a 10.5730
_cell_length_b 10.5730
_cell_length_c 12.8356
_cell_angle_alpha 90.00
_cell_angle_beta 90.00
_cell_angle_gamma 120.00
loop_
_atom_site_label
_atom_site_fract_x
_atom_site_fract_y
_atom_site_fract_z
_atom_site_occupancy
Hf1 0.0463 0.8652 0.3087 1
Hf2 0.0704 0.2122 0.9096 1
V1 0.0000 0.0000 0.5000 1
In1 0.0334 0.5906 0.2117 1



(12)
# Hf2VIn2 PBE optimized geometry
# DFT total energy ... -6.747 eV/atom
data_Hf2VIn2
_chemical_formula_sum 'Hf4 V2 In4'
_space_group_name_H-M_alt 'P 4/m b m'
_space_group_IT_number 127
_space_group_name_Hall '-P 4 2ab'
_cell_length_a 7.291
_cell_length_b 7.291
_cell_length_c 4.016
_cell_angle_alpha 90.00
_cell_angle_beta 90.00
_cell_angle_gamma 90.00
loop_
_atom_site_label
_atom_site_fract_x
_atom_site_fract_y
_atom_site_fract_z
_atom_site_occupancy
Hf1 0.170 0.330 0.000 1
V1 0.000 0.000 0.500 1
In1 0.136 0.636 0.500 1



(13)
# Hf3VIn PBE optimized geometry
# Energy above the lowest structure with this stoichiometry ... 0.00 eV/f.u.
data_Hf3VIn
_chemical_formula_sum 'Hf3 V1 In1'
_space_group_name_H-M_alt 'P m -3 m'
_space_group_IT_number 221
_space_group_name_Hall '-P 4 2 3'
_cell_length_a 4.872
_cell_length_b 4.872
_cell_length_c 4.872
_cell_angle_alpha 90.00
_cell_angle_beta 90.00
_cell_angle_gamma 90.00
loop_
_atom_site_label
_atom_site_fract_x
_atom_site_fract_y
_atom_site_fract_z
_atom_site_occupancy
Hf1 0.000 0.000 0.500 1
V1 0.000 0.000 0.000 1
In1 0.500 0.500 0.500 1



(14)
# Hf6VIn2 PBE optimized geometry
# DFT total energy ... -7.812 eV/atom
data_Hf6VIn2
_chemical_formula_sum 'Hf12 V2 In4'
_space_group_name_H-M_alt 'C 1 2/m 1'
_space_group_IT_number 12
_space_group_name_Hall '-C 2y'
_cell_length_a 14.784
_cell_length_b 6.987
_cell_length_c 4.478
_cell_angle_alpha 90.00
_cell_angle_beta 107.56
_cell_angle_gamma 90.00
loop_
_atom_site_label
_atom_site_fract_x
_atom_site_fract_y
_atom_site_fract_z
_atom_site_occupancy
Hf1 0.000 0.218 0.000 1
Hf2 0.161 0.223 0.660 1
V1 0.000 0.000 0.500 1
In1 0.161 0.500 0.160 1



(15)
# Hf2V2In PBE optimized geometry
# DFT total energy ... -8.123 eV/atom
data_Hf2V2In
_chemical_formula_sum 'Hf4 V4 In2'
_space_group_name_H-M_alt 'P 4/m b m'
_space_group_IT_number 127
_space_group_name_Hall '-P 4 2ab'
_cell_length_a 7.097
_cell_length_b 7.097
_cell_length_c 3.753
_cell_angle_alpha 90.00
_cell_angle_beta 90.00
_cell_angle_gamma 90.00
loop_
_atom_site_label
_atom_site_fract_x
_atom_site_fract_y
_atom_site_fract_z
_atom_site_occupancy
Hf1 0.175 0.325 0.000 1
V1 0.116 0.616 0.500 1
In1 0.000 0.000 0.500 1



(16)
# Hf2V15In2 PBE optimized geometry
# DFT total energy ... -8.388 eV/atom
data_Hf2V15In2
_chemical_formula_sum 'Hf6 V45 In6'
_space_group_name_H-M_alt 'R -3 m'
_space_group_IT_number 166
_space_group_name_Hall '-R 3 2"'
_cell_length_a 9.1495
_cell_length_b 9.1495
_cell_length_c 12.2684
_cell_angle_alpha 90.00
_cell_angle_beta 90.00
_cell_angle_gamma 120.00
loop_
_atom_site_label
_atom_site_fract_x
_atom_site_fract_y
_atom_site_fract_z
_atom_site_occupancy
Hf1 0.0000 0.0000 0.1405 1
V1 0.0000 0.3166 0.5000 1
V2 0.0000 0.5000 0.0000 1
V3 0.0107 0.5054 0.6525 1
In1 0.0000 0.0000 0.3882 1



(17)
# HfV4In PBE optimized geometry
# DFT total energy ... -8.151 eV/atom
data_HfV4In
_chemical_formula_sum 'Hf4 V16 In4'
_space_group_name_H-M_alt 'F -4 3 m'
_space_group_IT_number 216
_space_group_name_Hall 'F -4 2 3'
_cell_length_a 7.301
_cell_length_b 7.301
_cell_length_c 7.301
_cell_angle_alpha 90.00
_cell_angle_beta 90.00
_cell_angle_gamma 90.00
loop_
_atom_site_label
_atom_site_fract_x
_atom_site_fract_y
_atom_site_fract_z
_atom_site_occupancy
Hf1 0.000 0.000 0.000 1
V1 0.129 0.129 0.371 1
In1 0.250 0.250 0.750 1



(18)
# HfVIn2 PBE optimized geometry
# Energy above the lowest structure with this stoichiometry ... 0.00 eV/f.u.
data_HfVIn2
_chemical_formula_sum 'Hf1 V1 In2'
_space_group_name_H-M_alt 'P 4/m m m'
_space_group_IT_number 123
_space_group_name_Hall '-P 4 2'
_cell_length_a 4.199
_cell_length_b 4.199
_cell_length_c 4.437
_cell_angle_alpha 90.00
_cell_angle_beta 90.00
_cell_angle_gamma 90.00
loop_
_atom_site_label
_atom_site_fract_x
_atom_site_fract_y
_atom_site_fract_z
_atom_site_occupancy
Hf1 0.000 0.000 0.000 1
V1 0.500 0.500 0.000 1
In1 0.000 0.500 0.500 1



(19)
# HfVIn2 PBE optimized geometry
# Energy above the lowest structure with this stoichiometry ... 0.49 eV/f.u.
data_HfVIn2
_chemical_formula_sum 'Hf4 V4 In8'
_space_group_name_H-M_alt 'F m -3 m'
_space_group_IT_number 225
_space_group_name_Hall '-F 4 2 3'
_cell_length_a 6.865
_cell_length_b 6.865
_cell_length_c 6.865
_cell_angle_alpha 90.00
_cell_angle_beta 90.00
_cell_angle_gamma 90.00
loop_
_atom_site_label
_atom_site_fract_x
_atom_site_fract_y
_atom_site_fract_z
_atom_site_occupancy
Hf1 0.000 0.000 0.000 1
V1 0.000 0.000 0.500 1
In1 0.250 0.250 0.250 1



(20)
# HfV3In PBE optimized geometry
# Energy above the lowest structure with this stoichiometry ... 1.18 eV/f.u.
data_HfV3In
_chemical_formula_sum 'Hf1 V3 In1'
_space_group_name_H-M_alt 'P m -3 m'
_space_group_IT_number 221
_space_group_name_Hall '-P 4 2 3'
_cell_length_a 4.771
_cell_length_b 4.771
_cell_length_c 4.771
_cell_angle_alpha 90.00
_cell_angle_beta 90.00
_cell_angle_gamma 90.00
loop_
_atom_site_label
_atom_site_fract_x
_atom_site_fract_y
_atom_site_fract_z
_atom_site_occupancy
Hf1 0.000 0.000 0.000 1
V1 0.000 0.500 0.500 1
In1 0.500 0.500 0.500 1



(21)
# Hf2InW PBE optimized geometry
# DFT total energy ... -8.787 eV/atom
data_Hf2InW
_chemical_formula_sum 'Hf6 In3 W3'
_space_group_name_H-M_alt 'R -3 m'
_space_group_IT_number 166
_space_group_name_Hall '-R 3 2"'
_cell_length_a 3.2497
_cell_length_b 3.2497
_cell_length_c 27.7793
_cell_angle_alpha 90.00
_cell_angle_beta 90.00
_cell_angle_gamma 120.00
loop_
_atom_site_label
_atom_site_fract_x
_atom_site_fract_y
_atom_site_fract_z
_atom_site_occupancy
Hf1 0.0000 0.0000 0.2409 1
In1 0.0000 0.0000 0.0000 1
W1 0.0000 0.0000 0.5000 1



(22)
# HfIn3W PBE optimized geometry
# DFT total energy ... -4.488 eV/atom
data_HfIn3W
_chemical_formula_sum 'Hf1 In3 W1'
_space_group_name_H-M_alt 'P m -3 m'
_space_group_IT_number 221
_space_group_name_Hall '-P 4 2 3'
_cell_length_a 5.437
_cell_length_b 5.437
_cell_length_c 5.437
_cell_angle_alpha 90.00
_cell_angle_beta 90.00
_cell_angle_gamma 90.00
loop_
_atom_site_label
_atom_site_fract_x
_atom_site_fract_y
_atom_site_fract_z
_atom_site_occupancy
Hf1 0.000 0.000 0.000 1
In1 0.000 0.000 0.500 1
W1 0.500 0.500 0.500 1



(23)
# HfInW3 PBE optimized geometry
# Energy above the lowest structure with this stoichiometry ... 0.00 eV/f.u.
data_HfInW3
_chemical_formula_sum 'Hf1 In1 W3'
_space_group_name_H-M_alt 'P m -3 m'
_space_group_IT_number 221
_space_group_name_Hall '-P 4 2 3'
_cell_length_a 4.828
_cell_length_b 4.828
_cell_length_c 4.828
_cell_angle_alpha 90.00
_cell_angle_beta 90.00
_cell_angle_gamma 90.00
loop_
_atom_site_label
_atom_site_fract_x
_atom_site_fract_y
_atom_site_fract_z
_atom_site_occupancy
Hf1 0.000 0.000 0.000 1
In1 0.500 0.500 0.500 1
W1 0.000 0.000 0.500 1



(24)
# Hf2InW PBE optimized geometry
# DFT total energy ... -8.107 eV/atom
data_Hf2InW
_chemical_formula_sum 'Hf8 In4 W4'
_space_group_name_H-M_alt 'I -4 2 d'
_space_group_IT_number 122
_space_group_name_Hall 'I -4 2bw'
_cell_length_a 4.133
_cell_length_b 4.133
_cell_length_c 20.348
_cell_angle_alpha 90.00
_cell_angle_beta 90.00
_cell_angle_gamma 90.00
loop_
_atom_site_label
_atom_site_fract_x
_atom_site_fract_y
_atom_site_fract_z
_atom_site_occupancy
Hf1 0.239 0.250 0.125 1
In1 0.000 0.000 0.500 1
W1 0.000 0.000 0.000 1



(25)
# HfInW3 PBE optimized geometry
# Energy above the lowest structure with this stoichiometry ... 0.82 eV/f.u.
data_HfInW3
_chemical_formula_sum 'Hf1 In1 W3'
_space_group_name_H-M_alt 'P m -3 m'
_space_group_IT_number 221
_space_group_name_Hall '-P 4 2 3'
_cell_length_a 4.846
_cell_length_b 4.846
_cell_length_c 4.846
_cell_angle_alpha 90.00
_cell_angle_beta 90.00
_cell_angle_gamma 90.00
loop_
_atom_site_label
_atom_site_fract_x
_atom_site_fract_y
_atom_site_fract_z
_atom_site_occupancy
Hf1 0.000 0.000 0.000 1
In1 0.500 0.500 0.500 1
W1 0.000 0.500 0.500 1



| no. | mass density (kg/m³) |
| --- | --- |
| 1 | 9915 |
| 2 | 8958 |
| 3 | 9587 |
| 4 | 9912 |
| 5 | 9024 |
| 6 | 11015 |
| 7 | 9775 |
| 8 | 7266 |
| 9 | 8897 |
| 10 | 8288 |
| 11 | 11553 |
| 12 | 9920 |
| 13 | 10069 |
| 14 | 10178 |
| 15 | 10080 |
| 16 | 7565 |
| 17 | 8483 |
| 18 | 9744 |
| 19 | 9425 |
| 20 | 6820 |
| 21 | 12856 |
| 22 | 7302 |
| 23 | 12468 |
| 24 | 12529 |
| 25 | 12326 |